Entry 1:
Here is crystalline Ho3PuRu4 at its relaxed geometry from Alexandria. Energies are from PBE.

Results
Total DFT energy (no corrections) (eV per atom): -8.48
Magnetization (μB/atom): 0.43
Energy of formation (eV/atom): -0.331
Crystal system: monoclinic
D(E_F) (states/eV/f.u.): 8.86

Unit cell a=7.571 b=7.571 c=4.774 alpha=108.29 beta=108.29 gamma=36.76
Fractional coordinates of all 8 atoms:
Ho1 0.000 0.000 0.000
Ho2 0.248 0.248 0.248
Ho3 0.752 0.752 0.752
Pu1 0.500 0.500 0.500
Ru1 0.119 0.119 0.619
Ru2 0.380 0.380 0.880
Ru3 0.620 0.620 0.120
Ru4 0.881 0.881 0.381

=====

Entry 2:
Here is crystalline CdSnW2C at its relaxed geometry from Alexandria. Energies are from PBE.

Results
Total DFT energy (no corrections) (eV per atom): -7.22
Magnetization (μB/atom): 0.00
Energy of formation (eV/atom): 0.791
Crystal system: tetragonal
D(E_F) (states/eV/f.u.): 4.57

Unit cell a=4.234 b=4.234 c=4.661 alpha=90.00 beta=90.00 gamma=90.00
Fractional coordinates of all 5 atoms:
Cd1 0.000 0.000 0.000
Sn1 0.500 0.500 0.000
W1 0.000 0.500 0.500
W2 0.500 0.000 0.500
C1 0.000 0.000 0.500

=====

Entry 3:
Here is crystalline Li2AlPd2 at its relaxed geometry from Alexandria. Energies are from PBE.

Results
ΔE to the lowest computed polymorph (meV/atom): 0.0
Total DFT energy (no corrections) (eV per atom): -4.21
Magnetization (μB/atom): 0.00
Energy of formation (eV/atom): -0.622
Crystal system: trigonal
D(E_F) (states/eV/f.u.): 1.65

Unit cell a=5.262 b=5.262 c=5.262 alpha=46.85 beta=46.85 gamma=46.85
Fractional coordinates of all 5 atoms:
Li1 0.198 0.198 0.198
Li2 0.802 0.802 0.802
Al1 0.000 0.000 0.000
Pd1 0.396 0.396 0.396
Pd2 0.604 0.604 0.604

=====

Entry 4:
Here is crystalline TlPdAu at its relaxed geometry from Alexandria. Energies are from PBE.

Results
ΔE to the lowest computed polymorph (meV/atom): 0.0
Total DFT energy (no corrections) (eV per atom): -3.72
Magnetization (μB/atom): 0.00
Energy of formation (eV/atom): -0.109
Crystal system: orthorhombic
D(E_F) (states/eV/f.u.): 0.60

Unit cell a=5.644 b=5.644 c=5.644 alpha=117.24 beta=111.10 gamma=100.51
Fractional coordinates of all 6 atoms:
Tl1 0.250 0.250 0.500
Tl2 0.750 0.750 0.500
Pd1 0.250 0.250 0.000
Pd2 0.250 0.750 0.500
Au1 0.250 0.750 0.000
Au2 0.750 0.250 0.000

=====

Entry 5:
Here is crystalline BeNiTe at its relaxed geometry from Alexandria. Energies are from PBE.

Results
Total DFT energy (no corrections) (eV per atom): -4.48
Magnetization (μB/atom): 0.00
Crystal system: monoclinic
D(E_F) (states/eV/f.u.): 1.58
Formation energy (no corrections) (eV/atom): -0.267

Unit cell a=3.798 b=3.798 c=8.650 alpha=102.59 beta=102.59 gamma=59.99
Fractional coordinates of all 6 atoms:
Be1 0.000 0.000 0.000
Be2 0.612 0.612 0.835
Ni1 0.318 0.318 0.952
Ni2 0.701 0.701 0.104
Te1 0.221 0.221 0.661
Te2 0.418 0.418 0.257

=====

Entry 6:
Here is crystalline SbOsPt2 at its relaxed geometry from Alexandria. Energies are from PBE.

Results
Total DFT energy (no corrections) (eV per atom): -6.32
Magnetization (μB/atom): 0.00
Crystal system: orthorhombic
D(E_F) (states/eV/f.u.): 3.87
Formation energy (no corrections) (eV/atom): 0.541

Unit cell a=2.897 b=2.897 c=9.662 alpha=90.00 beta=90.00 gamma=120.66
Fractional coordinates of all 4 atoms:
Sb1 0.000 0.000 0.000
Os1 0.500 0.500 0.253
Pt1 0.000 0.000 0.485
Pt2 0.500 0.500 0.732

=====

Entry 7:
Here is crystalline NbCr3S at its relaxed geometry from Alexandria. Energies are from PBE.

Results
ΔE to the lowest computed polymorph (meV/atom): 1782.4
Total DFT energy (no corrections) (eV per atom): -6.54
Magnetization (μB/atom): 0.00
Crystal system: cubic
D(E_F) (states/eV/f.u.): 17.47
Formation energy (no corrections) (eV/atom): 2.076

Unit cell a=4.538 b=4.538 c=4.538 alpha=90.00 beta=90.00 gamma=90.00
Fractional coordinates of all 5 atoms:
Nb1 0.000 0.000 0.000
Cr1 0.000 0.000 0.500
Cr2 0.000 0.500 0.000
Cr3 0.500 0.000 0.000
S1 0.500 0.500 0.500

=====

Entry 8:
Here is crystalline Ba2NF at its relaxed geometry from Alexandria. Energies are from PBE.

Results
ΔE to the lowest computed polymorph (meV/atom): 163.8
Total DFT energy (no corrections) (eV per atom): -5.06
Magnetization (μB/atom): 0.00
Crystal system: tetragonal
D(E_F) (states/eV/f.u.): 1.23
Formation energy (no corrections) (eV/atom): -1.548

Unit cell a=4.119 b=4.119 c=5.583 alpha=90.00 beta=90.00 gamma=90.00
Fractional coordinates of all 4 atoms:
Ba1 0.000 0.000 0.000
Ba2 0.500 0.500 0.500
N1 0.000 0.000 0.500
F1 0.500 0.500 0.000

=====

Entry 9:
Here is crystalline CePrPt2 at its relaxed geometry from Alexandria. Energies are from PBE.

Results
ΔE to the lowest computed polymorph (meV/atom): 46.7
Total DFT energy (no corrections) (eV per atom): -6.75
Magnetization (μB/atom): 0.09
Energy of formation (eV/atom): -1.053
Crystal system: trigonal
D(E_F) (states/eV/f.u.): 4.90

Unit cell a=7.279 b=7.279 c=7.279 alpha=33.25 beta=33.25 gamma=33.25
Fractional coordinates of all 4 atoms:
Ce1 0.000 0.000 0.000
Pr1 0.500 0.500 0.500
Pt1 0.255 0.255 0.255
Pt2 0.745 0.745 0.745

=====

Entry 10:
Here is crystalline MgSi2Au at its relaxed geometry from Alexandria. Energies are from PBE.

Results
Total DFT energy (no corrections) (eV per atom): -3.93
Magnetization (μB/atom): 0.00
Crystal system: orthorhombic
D(E_F) (states/eV/f.u.): 1.38
Formation energy (no corrections) (eV/atom): 0.004

Unit cell a=2.825 b=4.535 c=5.270 alpha=90.00 beta=90.00 gamma=90.00
Fractional coordinates of all 4 atoms:
Mg1 0.000 0.000 0.000
Si1 0.500 0.000 0.512
Si2 0.500 0.500 0.728
Au1 0.500 0.500 0.217

=====

Entry 11:
Here is crystalline Mg3TeBr at its relaxed geometry from Alexandria. Energies are from PBE.

Results
ΔE to the lowest computed polymorph (meV/atom): 74.0
Total DFT energy (no corrections) (eV per atom): -1.81
Magnetization (μB/atom): 0.00
Crystal system: cubic
D(E_F) (states/eV/f.u.): 2.70
Formation energy (no corrections) (eV/atom): 0.107

Unit cell a=5.370 b=5.370 c=5.370 alpha=90.00 beta=90.00 gamma=90.00
Fractional coordinates of all 5 atoms:
Mg1 0.000 0.000 0.500
Mg2 0.000 0.500 0.000
Mg3 0.500 0.000 0.000
Te1 0.500 0.500 0.500
Br1 0.000 0.000 0.000

=====

Entry 12:
Here is crystalline Sm2Co5Cu5 at its relaxed geometry from Alexandria. Energies are from PBE.

Results
ΔE to the lowest computed polymorph (meV/atom): 42.9
Total DFT energy (no corrections) (eV per atom): -5.50
Magnetization (μB/atom): 0.45
Energy of formation (eV/atom): -0.041
Crystal system: orthorhombic
D(E_F) (states/eV/f.u.): 11.89

Unit cell a=4.052 b=5.043 c=8.552 alpha=90.00 beta=90.00 gamma=90.00
Fractional coordinates of all 12 atoms:
Sm1 0.000 0.000 0.000
Sm2 0.000 0.500 0.500
Co1 0.000 0.000 0.338
Co2 0.000 0.000 0.662
Co3 0.000 0.500 0.151
Co4 0.000 0.500 0.849
Co5 0.500 0.500 0.000
Cu1 0.500 0.000 0.500
Cu2 0.500 0.250 0.249
Cu3 0.500 0.250 0.751
Cu4 0.500 0.750 0.249
Cu5 0.500 0.750 0.751